Record 1
Entry from the Alexandria database: an optimized crystal structure of PrMg2SnGe (PBE-GGA).

Cell and atoms, written as CIF:
```
data_PrMg2SnGe
_symmetry_space_group_name_H-M 'C m c m'
_symmetry_Int_Tables_number 63
_symmetry_space_group_name_Hall '-C 2c 2'
_cell_length_a 4.227
_cell_length_b 15.994
_cell_length_c 7.804
_cell_angle_alpha 90.00
_cell_angle_beta 90.00
_cell_angle_gamma 90.00
loop_
_atom_site_label
_atom_site_fract_x
_atom_site_fract_y
_atom_site_fract_z
Pr1 0.000 0.098 0.250
Mg1 0.000 0.319 0.064
Sn1 0.000 0.500 0.000
Ge1 0.000 0.244 0.750
```

Values from the calculation:
calculated formation energy: -344 meV/atom

=====

Record 2
Entry from the Alexandria database: an optimized crystal structure of ZrMo2W (PBE-GGA).

Cell and atoms, written as CIF:
```
data_ZrMo2W
_symmetry_space_group_name_H-M 'C m m 2'
_symmetry_Int_Tables_number 35
_cell_length_a 3.215
_cell_length_b 4.640
_cell_length_c 9.216
_cell_angle_alpha 90.00
_cell_angle_beta 90.00
_cell_angle_gamma 90.00
loop_
_symmetry_equiv_pos_as_xyz
'x,y,z'
'-x,-y,z'
'-x,y,z'
'x,-y,z'
'x+1/2,y+1/2,z'
'-x+1/2,-y+1/2,z'
'-x+1/2,y+1/2,z'
'x+1/2,-y+1/2,z'
loop_
_atom_site_label
_atom_site_fract_x
_atom_site_fract_y
_atom_site_fract_z
Zr1 0.000 0.000 0.000
Mo1 0.000 0.000 0.502
Mo2 0.000 0.500 0.735
W1 0.000 0.500 0.267
```

Values from the calculation:
polymorph energy (0 for the lowest one): 0.092 eV/atom
calculated formation energy: 63 meV/atom